## CePm2Tm (PBE-GGA)

Data for crystalline CePm2Tm at its relaxed geometry.

Results
Energy   -19.6 eV for the cell shown
ΔH_f (0 K)   0.267 eV per formula unit
N(E_F)   7.9 states/eV/cell
M_tot   0.559 μB per formula unit

Geometry as POSCAR:
```
CePm2Tm
1.0
3.553 0.000 0.000
0.000 3.553 0.000
0.000 0.000 10.157
Ce Pm Tm
1 2 1
direct
0.500 0.500 0.500
0.000 0.000 0.747
0.000 0.000 0.253
0.500 0.500 0.000
```